The following is a DFT calculation (GGA-PBE) of a geometry-optimized Pr2ErPt structure.

The space group is R-3m (No. 166, hexagonal axes) and the conventional cell measures 3.8022, 3.8022 and 32.2080 Å, with angles of 90.00, 90.00 and 120.00 degrees. The asymmetric unit holds Pr at (0.0000, 0.0000, 0.1079), Er at (0.0000, 0.0000, 0.0000) and Pt at (0.0000, 0.0000, 0.5000).

For the magnetization, the calculation gives 0.00 μB/f.u. Its formation energy is -0.1946 eV per atom.